# MoPbSe2

Crystalline MoPbSe2 at its relaxed geometry (GGA-PBEsol, Alexandria).

Summary:
ΔE_f (raw): 376 meV/atom
E: -5.491 eV per atom
Total moment: 2.4 Bohr magnetons per cell

a = 3.343 Å, b = 4.953 Å, c = 4.953 Å
α = 90.00°, β = 90.00°, γ = 90.00°
Sites, in units of the cell vectors:
Mo 0.500 0.500 0.500
Pb 0.500 0.000 0.000
Se 0.000 0.000 0.500
Se 0.000 0.500 0.000